Entry 1:
VASP calculation (SCAN) on a PBEsol-optimized structure of TcSbTe2.

The structure in POSCAR format:
```
TcSbTe2
1.0
-2.651 0.049 -1.933
-4.054 -1.281 2.742
-3.473 5.670 2.121
Sb Tc Te
1 1 2
Cartesian
-5.348 2.927 1.838
-7.857 2.394 2.481
-7.156 4.255 4.351
-2.432 1.471 0.587
```

Properties
Total DFT energy (no corrections) in eV for the cell shown: -146.55
Symmetry: Cm, No. 8
Energy relative to the elements, uncorrected in eV/f.u.: 0.27
Size of the total moment in μB per cell: 0.0

=====

Entry 2:
VASP calculation (SCAN) on a PBEsol-optimized structure of CeSiOs2C.

The structure in POSCAR format:
```
CeSiOs2C
1.0
3.906 0.000 0.000
-1.953 5.542 0.000
0.000 0.000 7.072
Ce Si Os C
2 2 4 2
Cartesian
0.000 4.964 1.768
1.953 0.577 5.304
1.953 2.526 1.768
0.000 3.015 5.304
0.000 1.842 3.128
1.953 3.700 3.944
1.953 3.700 6.664
0.000 1.842 0.408
0.000 0.000 3.536
0.000 0.000 0.000
```

Properties
Total DFT energy (no corrections) in eV for the cell shown: -422.55
Symmetry: Cmcm, No. 63
Energy relative to the elements, uncorrected in eV/f.u.: -2.83
Size of the total moment in μB per cell: 0.0

=====

Entry 3:
VASP calculation (SCAN) on a PBEsol-optimized structure of Al2CoCu.

The structure in POSCAR format:
```
Al2CoCu
1.0
-0.895 1.523 2.254
-0.652 -3.462 2.081
4.570 0.549 -0.375
Co Al Cu
1 2 1
Cartesian
-0.793 -1.138 2.274
0.024 -0.144 0.107
1.506 -1.777 1.799
1.512 0.699 1.948
```

Properties
Total DFT energy (no corrections) in eV for the cell shown: -49.61
Calculated formation energy in eV/f.u.: -1.6
Symmetry: Cm, No. 8
Size of the total moment in μB per cell: 0.5

=====

Entry 4:
VASP calculation (SCAN) on a PBEsol-optimized structure of RbCd3Si.

The structure in POSCAR format:
```
RbCd3Si
1.0
6.407 0.000 0.000
0.000 6.407 0.000
0.000 0.000 6.407
Si Rb Cd
1 1 3
Cartesian
3.203 3.203 3.203
0.000 0.000 0.000
0.000 3.203 0.000
0.000 0.000 3.203
3.203 0.000 0.000
```

Properties
Total DFT energy (no corrections) in eV for the cell shown: -115.70
Symmetry: Pm-3m, No. 221
Energy relative to the elements, uncorrected in eV/f.u.: 6.29
Size of the total moment in μB per cell: 3.0

=====

Entry 5:
VASP calculation (SCAN) on a PBEsol-optimized structure of ScCo2Re.

The structure in POSCAR format:
```
ScCo2Re
1.0
-1.354 -0.002 2.366
2.984 -2.331 1.706
2.936 3.833 0.100
Co Re Sc
2 1 1
Cartesian
1.734 3.657 1.962
1.065 -0.024 3.159
0.528 1.615 1.283
3.611 1.997 1.466
```

Properties
Total DFT energy (no corrections) in eV for the cell shown: -119.90
Calculated formation energy in eV/f.u.: 0.0
Polymorph energy (0 for the lowest one) in meV/atom: 0
Symmetry: Pm, No. 6
Size of the total moment in μB per cell: 0.0

=====

Entry 6:
VASP calculation (SCAN) on a PBEsol-optimized structure of TiInS2N.

The structure in POSCAR format:
```
TiInS2N
1.0
-2.776 -1.195 2.556
-1.904 -3.054 -3.495
3.027 -3.681 1.567
N S Ti In
1 2 1 1
Cartesian
-1.388 -0.597 1.278
1.514 -1.840 0.784
-0.952 -1.527 -1.748
-0.826 -3.965 0.314
0.000 0.000 0.000
```

Properties
Total DFT energy (no corrections) in eV for the cell shown: -75.49
Symmetry: P4/mmm, No. 123
Energy relative to the elements, uncorrected in eV/f.u.: 2.48
Size of the total moment in μB per cell: 3.9

=====

Entry 7:
VASP calculation (SCAN) on a PBEsol-optimized structure of KGaRe3.

The structure in POSCAR format:
```
KGaRe3
1.0
-4.492 -0.491 1.072
1.087 -0.090 4.514
-0.456 4.617 0.202
Re K Ga
3 1 1
Cartesian
0.543 -0.045 2.257
-0.228 2.308 0.101
-2.246 -0.245 0.536
-1.931 2.018 2.894
0.000 0.000 0.000
```

Properties
Total DFT energy (no corrections) in eV for the cell shown: -226.04
Calculated formation energy in eV/f.u.: 11.9
Symmetry: Pm-3m, No. 221
Size of the total moment in μB per cell: 0.0

=====

Entry 8:
VASP calculation (SCAN) on a PBEsol-optimized structure of NdGaGe2O7.

The structure in POSCAR format:
```
NdGaGe2O7
1.0
-3.847 3.676 -3.912
-5.598 -4.333 1.433
-3.790 5.792 9.170
Nd Ga Ge O
4 4 8 28
Cartesian
-7.647 6.896 6.792
-3.887 2.541 4.578
-9.348 2.595 2.113
-5.588 -1.760 -0.101
-4.553 5.840 5.509
-8.930 5.459 3.879
-8.683 -0.704 1.182
-4.305 -0.323 2.811
-7.283 0.617 3.931
-11.629 3.872 4.907
-5.674 5.005 8.517
-7.562 0.131 -1.826
-5.952 4.519 2.759
-1.607 1.264 1.784
-7.545 3.183 5.820
-5.690 1.953 0.871
-5.553 5.753 1.640
-8.762 2.752 7.020
-4.403 -1.947 1.926
-9.725 0.828 0.426
-3.510 4.308 6.264
-8.832 7.083 4.764
-5.926 2.630 6.212
-7.314 -1.970 1.852
-7.682 -0.617 5.051
-7.964 -1.077 -0.564
-8.209 0.560 2.449
-5.485 0.269 1.307
-7.736 4.631 2.617
-3.105 1.103 2.697
-4.474 2.384 -0.329
-10.130 4.033 3.994
-7.309 2.506 0.478
-7.890 2.256 4.300
-5.499 0.505 4.073
-5.271 6.213 7.254
-5.346 2.880 2.391
-7.375 5.015 8.313
-8.118 1.774 9.646
-7.751 4.867 5.384
-5.027 4.576 4.241
-5.860 0.121 -1.622
-5.921 7.106 4.839
-5.117 3.362 -2.956
```

Properties
Total DFT energy (no corrections) in eV for the cell shown: -671.00
Symmetry: P2_1/c, No. 14
Energy relative to the elements, uncorrected in eV/f.u.: -26.03
Size of the total moment in μB per cell: 0.0